Entry 1:
10
Lattice="4.049 0.000 0.000 0.000 4.049 0.000 -2.025 -2.025 14.334" Properties=species:S:1:pos:R:3 comment="Ho4ErSe5, relaxed, DFT PBE" sg="No. 139" pbc="T T T"
Ho 0.000 0.000 11.480
Ho 2.025 2.025 8.582
Ho 0.000 0.000 5.752
Ho 2.025 2.025 2.854
Er 0.000 0.000 0.000
Se 0.000 0.000 2.866
Se 2.025 2.025 0.000
Se 2.025 2.025 11.468
Se 0.000 0.000 8.614
Se 2.025 2.025 5.720

Entry 2:
12
Lattice="-0.498 -0.158 5.869 -4.795 -3.009 -0.488 5.695 -3.773 0.382" Properties=species:S:1:pos:R:3 comment="LiLaZnRh3, relaxed, DFT PBE" sg="No. 63" formation_energy_ev_per_atom=-0.23 pbc="T T T"
Li 0.110 -5.756 1.333
Li 0.292 -1.184 4.429
La 1.723 -3.473 4.489
La -1.320 -3.467 1.273
Zn 2.266 -3.865 1.567
Zn -1.864 -3.074 4.196
Rh 0.862 -1.618 1.508
Rh -1.231 -0.773 -0.125
Rh -3.813 -2.315 2.572
Rh -1.480 -0.852 2.809
Rh -3.564 -2.236 -0.363
Rh -0.460 -5.322 4.254

Entry 3:
80
Lattice="-0.403 -10.109 -9.938 12.912 5.860 0.261 -2.859 -5.705 12.665" Properties=species:S:1:pos:R:3 comment="In5Bi3Au12, relaxed, DFT PBE" sg="No. 230" formation_energy_ev_per_atom=0.10 pbc="T T T"
Bi 4.182 -6.097 -5.773
Bi 8.974 -5.164 -6.917
Bi 7.746 -2.962 4.385
Bi 0.441 -3.934 2.297
Bi 0.546 -9.539 -5.497
Bi 7.204 -1.555 -0.397
Bi 2.445 -8.400 3.385
Bi 9.103 -0.415 8.485
Bi 9.208 -6.020 0.690
Bi 1.904 -6.993 -1.397
Bi 0.676 -4.791 9.905
Bi 5.467 -3.857 8.760
In 4.077 -0.493 2.022
In 6.456 2.930 0.131
In 0.000 0.000 0.000
In 2.719 -3.039 -2.078
In -1.631 -7.907 1.363
In 6.254 -2.124 -4.839
In 8.561 0.992 3.703
In -1.190 -11.841 3.660
In 6.695 -6.059 -2.541
In -0.682 -7.337 5.804
In 10.331 -2.617 -2.817
In 4.825 -4.977 1.494
In -0.202 -5.054 -4.969
In -1.430 -2.853 6.332
In 2.954 -3.896 5.529
In 10.840 1.887 -0.673
In 5.026 0.077 6.463
In 1.088 -10.946 -0.715
In 6.930 -6.915 5.066
In 5.572 -9.462 0.966
Au 1.342 -6.888 -6.375
Au 5.937 -2.518 2.156
Au 3.479 -8.915 -5.748
Au 2.299 -5.177 -3.763
Au 7.254 -5.446 2.760
Au 6.604 -7.010 -7.090
Au 8.663 -1.241 2.094
Au 11.368 3.776 1.260
Au 9.957 -4.127 2.906
Au 6.808 -4.842 -5.009
Au 4.289 -7.310 -3.022
Au 11.400 -3.419 -7.268
Au 7.715 -0.383 5.934
Au 5.074 -1.641 -2.370
Au 10.859 2.492 3.935
Au 0.003 -6.650 3.227
Au 1.418 -1.210 2.061
Au 8.162 -0.961 -3.187
Au 10.683 -4.666 -4.623
Au 5.069 0.564 -0.320
Au 9.729 -2.557 6.467
Au 6.858 -4.437 -0.321
Au 8.825 -7.645 -1.813
Au 1.429 -11.054 3.980
Au 2.791 -5.517 3.309
Au 0.824 -2.309 4.800
Au 8.220 1.100 -0.992
Au -1.034 -5.288 7.610
Au -0.079 -7.397 -3.480
Au 4.580 -10.518 3.307
Au 1.487 -8.994 6.174
Au 9.647 -3.304 -0.239
Au 8.231 -8.745 0.927
Au -1.210 -12.446 -0.948
Au 1.934 -9.571 -2.947
Au -1.751 -6.535 10.256
Au 4.575 -8.313 5.357
Au -0.307 -5.827 0.082
Au 2.842 -5.112 7.997
Au 5.360 -2.644 6.009
Au -1.719 -13.731 1.728
Au 0.986 -8.713 0.894
Au 7.351 -4.778 6.751
Au 3.045 -2.945 10.077
Au 2.396 -4.509 0.228
Au 6.171 -1.040 8.736
Au 3.712 -7.436 0.832
Au 8.307 -3.067 9.363

Entry 4:
4
Lattice="4.382 -0.003 0.000 0.004 4.382 0.000 0.000 0.000 6.196" Properties=species:S:1:pos:R:3 comment="Ca2TeSe, relaxed, DFT PBE" sg="No. 123" de_polymorph_mev_per_atom=25 pbc="T T T"
Ca 0.000 0.000 5.424
Ca 2.193 2.189 2.323
Te 2.193 2.189 5.421
Se 0.000 0.000 2.323

Entry 5:
4
Lattice="3.588 -0.001 0.000 -1.794 3.108 0.002 -1.790 -1.041 11.637" Properties=species:S:1:pos:R:3 comment="LaYErTm, relaxed, DFT PBE" sg="No. 160" de_polymorph_mev_per_atom=0 formation_energy_ev_per_atom=0.03 pbc="T T T"
La 2.134 0.806 4.329
Y -1.453 2.882 1.254
Er 0.341 -0.231 7.283
Tm -1.452 0.804 10.057

Entry 6:
5
Lattice="4.017 0.000 0.000 0.000 4.017 0.000 0.000 0.000 4.017" Properties=species:S:1:pos:R:3 comment="LiBRh3, relaxed, DFT PBE" sg="No. 221" de_polymorph_mev_per_atom=1440 formation_energy_ev_per_atom=1.28 pbc="T T T"
B 2.009 2.009 2.009
Rh 0.000 2.009 0.000
Rh 0.000 0.000 2.009
Rh 2.009 0.000 0.000
Li 0.000 0.000 0.000

Entry 7:
8
Lattice="-1.965 0.777 3.559 2.920 -6.521 3.037 6.355 1.678 3.143" Properties=species:S:1:pos:R:3 comment="NpTl2PbS4, relaxed, DFT PBE" sg="No. 10" pbc="T T T"
Np 4.638 -2.422 3.090
Tl 6.355 1.678 3.143
Tl 2.195 1.227 3.351
Pb 6.833 -1.194 6.441
S 6.722 -3.370 4.448
S 0.589 -0.696 5.291
S 2.896 -3.680 4.810
S 4.414 -0.386 4.929

Entry 8:
11
Lattice="5.012 0.000 0.000 -2.506 4.340 0.000 0.000 0.000 19.021" Properties=species:S:1:pos:R:3 comment="K3Cd2Sb4Pb2, relaxed, DFT PBE" sg="No. 164" pbc="T T T"
K 0.000 0.000 13.974
K 0.000 0.000 0.000
K 0.000 0.000 5.047
Cd 2.506 1.447 16.477
Cd 0.000 2.894 2.544
Sb 2.506 1.447 2.554
Sb 0.000 2.894 16.467
Sb 2.506 1.447 11.636
Sb 0.000 2.894 7.385
Pb 2.506 1.447 8.409
Pb 0.000 2.894 10.612

| no. | DOS(E_F) (states/eV/f.u.) | calculated total energy (eV/f.u.) |
| --- | --- | --- |
| 1 | 4.4 | -57.4 |
| 2 | 7.2 | -31.5 |
| 3 | 9.3 | -62.6 |
| 4 | 0.0 | -17.8 |
| 5 | 5.9 | -20.3 |
| 6 | 3.9 | -24.3 |
| 7 | 8.9 | -44.0 |
| 8 | 2.4 | -32.1 |